The following is a PBE with a Hubbard U calculation of a geometry-optimized SrHf2MoO8 structure, from Alexandria.

Cell and atoms, written as POSCAR:
```
SrHf2MoO8
1.0
4.935 0.064 -0.003
0.103 4.930 -0.005
0.005 0.008 6.663
O Hf Sr Mo
8 2 1 1
direct
0.201 0.798 0.798 O
0.799 0.202 0.798 O
0.201 0.798 0.202 O
0.670 0.672 0.500 O
0.330 0.328 0.500 O
0.288 0.287 0.000 O
0.712 0.713 0.000 O
0.799 0.202 0.202 O
0.500 0.500 0.253 Hf
0.500 0.500 0.747 Hf
0.000 0.000 0.500 Sr
0.000 0.000 0.000 Mo
```

Output
spin magnetization	0.00	μB per formula unit
total energy	-0.61874	Ry/atom
crystal system	orthorhombic
symmetry	Cmmm